(1)
DFT (PBE) results for a geometry-optimized PmYSi4 structure.

As for the crystal system: cubic. The symmetry is F-43m (216).

Structure (CIF):
```
data_PmYSi4
_symmetry_space_group_name_H-M 'P 1'
_symmetry_Int_Tables_number 1
_symmetry_space_group_name_Hall 'P 1'
_cell_length_a 5.379
_cell_length_b 5.379
_cell_length_c 5.379
_cell_angle_alpha 60.00
_cell_angle_beta 60.00
_cell_angle_gamma 60.00
loop_
_atom_site_label
_atom_site_type_symbol
_atom_site_fract_x
_atom_site_fract_y
_atom_site_fract_z
Pm1 Pm 0.000 0.000 0.000
Y1 Y 0.250 0.250 0.250
Si1 Si 0.128 0.624 0.624
Si2 Si 0.624 0.128 0.624
Si3 Si 0.624 0.624 0.128
Si4 Si 0.624 0.624 0.624
```


(2)
DFT (PBE) results for a geometry-optimized LaFePt2 structure.

For the formation enthalpy at 0 K, the calculation gives -0.282 eV per atom. As for the crystal system: tetragonal. The symmetry is I-42d (122).

Structure (CIF):
```
data_LaFePt2
_symmetry_space_group_name_H-M 'P 1'
_symmetry_Int_Tables_number 1
_symmetry_space_group_name_Hall 'P 1'
_cell_length_a 4.857
_cell_length_b 4.857
_cell_length_c 16.351
_cell_angle_alpha 90.00
_cell_angle_beta 90.00
_cell_angle_gamma 90.00
loop_
_atom_site_label
_atom_site_type_symbol
_atom_site_fract_x
_atom_site_fract_y
_atom_site_fract_z
La1 La 0.000 0.000 0.000
La2 La 0.000 0.500 0.250
La3 La 0.500 0.000 0.750
La4 La 0.500 0.500 0.500
Fe1 Fe 0.000 0.000 0.500
Fe2 Fe 0.000 0.500 0.750
Fe3 Fe 0.500 0.000 0.250
Fe4 Fe 0.500 0.500 0.000
Pt1 Pt 0.095 0.250 0.625
Pt2 Pt 0.250 0.595 0.875
Pt3 Pt 0.250 0.905 0.375
Pt4 Pt 0.405 0.250 0.125
Pt5 Pt 0.595 0.750 0.125
Pt6 Pt 0.750 0.095 0.375
Pt7 Pt 0.750 0.405 0.875
Pt8 Pt 0.905 0.750 0.625
```


Number 1: D(E_F) 4.55 states/eV/cell, uncorrected energy -5.780 eV/atom. Number 2: D(E_F) 26.38 states/eV/cell, uncorrected energy -6.650 eV/atom.